Compound: RbNiTeF2
Source: Alexandria
Functional: PBE+U
Structure: optimized geometry

Unit cell a=4.2573 b=7.2545 c=4.2573 alpha=90.00 beta=90.00 gamma=90.00
Site moments in Bohr magnetons follow the coordinates.
Fractional positions:
Te (0.5000, 0.5000, 0.5000)  0.60
F (0.0000, 0.0000, 0.5000)  0.06
F (0.5000, 0.0000, 0.0000)  0.09
Ni (0.0000, 0.0000, 0.0000)  1.55
Rb (0.0000, 0.5000, 0.0000)  0.08

Calculated values
The final energy comes out at -2.614 eV/atom.